# 1
Computed, not measured: an optimized crystal structure of Ca2MnBPd6 at the GGA-PBE level of DFT. Values from VASP.

Computed properties:
The value obtained for the size of the total moment is 4.53 Bohr magnetons per cell. The energy relative to the elements is -10.3 kcal/mol of atoms. As for the crystal system: triclinic. The density of states at the Fermi level is 2.24 states/eV/cell. The symmetry is No. 2.

Cell and atoms, written as Quantum ESPRESSO input:
```
&SYSTEM
  ibrav = 0, nat = 10, ntyp = 4
/
ATOMIC_SPECIES
Ca 40.08 Ca.upf
Mn 54.94 Mn.upf
B 10.81 B.upf
Pd 106.42 Pd.upf
ATOMIC_POSITIONS crystal
Ca 0.723 0.278 0.442
Ca 0.277 0.722 0.558
Mn 0.000 0.000 0.000
B 0.500 0.500 0.000
Pd 0.212 0.267 0.468
Pd 0.732 0.786 0.949
Pd 0.267 0.734 0.050
Pd 0.733 0.266 0.950
Pd 0.268 0.214 0.051
Pd 0.788 0.733 0.532
CELL_PARAMETERS angstrom
7.095 -0.037 0.870
0.025 5.807 0.019
4.216 2.864 4.999
```

***

# 2
Computed, not measured: an optimized crystal structure of Ca2MnBPd at the GGA-PBE level of DFT. Values from VASP.

Computed properties:
The value obtained for the size of the total moment is 2.37 Bohr magnetons per cell. The energy relative to the elements is 11.1 kcal/mol of atoms. As for the crystal system: tetragonal. The density of states at the Fermi level is 4.10 states/eV/cell. The symmetry is No. 123.

Cell and atoms, written as Quantum ESPRESSO input:
```
&SYSTEM
  ibrav = 0, nat = 5, ntyp = 4
/
ATOMIC_SPECIES
Ca 40.08 Ca.upf
Mn 54.94 Mn.upf
B 10.81 B.upf
Pd 106.42 Pd.upf
ATOMIC_POSITIONS crystal
Ca 0.000 0.000 0.500
Ca 0.500 0.000 0.000
Mn 0.000 0.000 0.000
B 0.000 0.500 0.000
Pd 0.500 0.500 0.500
CELL_PARAMETERS angstrom
5.389 0.000 0.000
0.000 3.845 0.000
0.000 0.000 5.389
```

***

# 3
Computed, not measured: an optimized crystal structure of Ca2MnSiB at the GGA-PBE level of DFT. Values from VASP.

Computed properties:
The value obtained for the size of the total moment is 3.30 Bohr magnetons per cell. As for the crystal system: tetragonal. The uncorrected formation energy is 662 meV per atom. The density of states at the Fermi level is 3.66 states/eV/cell. The symmetry is No. 123.

Cell and atoms, written as Quantum ESPRESSO input:
```
&SYSTEM
  ibrav = 0, nat = 5, ntyp = 4
/
ATOMIC_SPECIES
Ca 40.08 Ca.upf
Mn 54.94 Mn.upf
Si 28.09 Si.upf
B 10.81 B.upf
ATOMIC_POSITIONS crystal
Ca 0.000 0.000 0.500
Ca 0.500 0.000 0.000
Mn 0.000 0.000 0.000
Si 0.500 0.500 0.500
B 0.000 0.500 0.000
CELL_PARAMETERS angstrom
5.501 0.000 0.000
0.000 3.868 0.000
0.000 0.000 5.501
```

***

# 4
Computed, not measured: an optimized crystal structure of CaMnSi2B at the GGA-PBE level of DFT. Values from VASP.

Computed properties:
The value obtained for the size of the total moment is 0.00 Bohr magnetons per cell. As for the crystal system: tetragonal. The uncorrected formation energy is 425 meV per atom. The density of states at the Fermi level is 3.86 states/eV/cell. The symmetry is No. 123.

Cell and atoms, written as Quantum ESPRESSO input:
```
&SYSTEM
  ibrav = 0, nat = 5, ntyp = 4
/
ATOMIC_SPECIES
Ca 40.08 Ca.upf
Mn 54.94 Mn.upf
Si 28.09 Si.upf
B 10.81 B.upf
ATOMIC_POSITIONS crystal
Ca 0.500 0.500 0.500
Mn 0.000 0.500 0.000
Si 0.000 0.000 0.500
Si 0.500 0.000 0.000
B 0.000 0.000 0.000
CELL_PARAMETERS angstrom
-3.267 0.197 -2.755
-0.642 -3.943 0.479
-2.676 0.828 3.234
```

***

# 5
Computed, not measured: an optimized crystal structure of SrCaMn2B at the GGA-PBE level of DFT. Values from VASP.

Computed properties:
The value obtained for the size of the total moment is 0.08 Bohr magnetons per cell. The energy relative to the elements is 54.2 kcal/mol of atoms. As for the crystal system: tetragonal. The density of states at the Fermi level is 8.92 states/eV/cell. The symmetry is No. 123.

Cell and atoms, written as Quantum ESPRESSO input:
```
&SYSTEM
  ibrav = 0, nat = 5, ntyp = 4
/
ATOMIC_SPECIES
Sr 87.62 Sr.upf
Ca 40.08 Ca.upf
Mn 54.94 Mn.upf
B 10.81 B.upf
ATOMIC_POSITIONS crystal
Sr 0.000 0.000 0.000
Ca 0.500 0.500 0.500
Mn 0.000 0.000 0.500
Mn 0.500 0.000 0.000
B 0.000 0.500 0.000
CELL_PARAMETERS angstrom
-4.485 -0.401 1.437
0.460 -4.993 0.044
1.428 0.171 4.503
```

***

# 6
Computed, not measured: an optimized crystal structure of Ca2MnBW at the GGA-PBE level of DFT. Values from VASP.

Computed properties:
The value obtained for the size of the total moment is 0.00 Bohr magnetons per cell. The energy relative to the elements is 27.4 kcal/mol of atoms. As for the crystal system: tetragonal. The density of states at the Fermi level is 13.57 states/eV/cell. The symmetry is No. 123.

Cell and atoms, written as Quantum ESPRESSO input:
```
&SYSTEM
  ibrav = 0, nat = 5, ntyp = 4
/
ATOMIC_SPECIES
Ca 40.08 Ca.upf
Mn 54.94 Mn.upf
B 10.81 B.upf
W 183.84 W.upf
ATOMIC_POSITIONS crystal
Ca 0.000 0.000 0.500
Ca 0.500 0.000 0.000
Mn 0.500 0.500 0.500
B 0.000 0.000 0.000
W 0.000 0.500 0.000
CELL_PARAMETERS angstrom
4.918 0.000 0.000
0.000 4.251 0.000
0.000 0.000 4.918
```

***

# 7
Computed, not measured: an optimized crystal structure of CaMn2BW at the GGA-PBE level of DFT. Values from VASP.

Computed properties:
The value obtained for the size of the total moment is 0.00 Bohr magnetons per cell. The energy relative to the elements is 24.0 kcal/mol of atoms. As for the crystal system: tetragonal. The density of states at the Fermi level is 7.36 states/eV/cell. The symmetry is No. 123.

Cell and atoms, written as Quantum ESPRESSO input:
```
&SYSTEM
  ibrav = 0, nat = 5, ntyp = 4
/
ATOMIC_SPECIES
Ca 40.08 Ca.upf
Mn 54.94 Mn.upf
B 10.81 B.upf
W 183.84 W.upf
ATOMIC_POSITIONS crystal
Ca 0.000 0.500 0.000
Mn 0.000 0.000 0.500
Mn 0.500 0.000 0.000
B 0.000 0.000 0.000
W 0.500 0.500 0.500
CELL_PARAMETERS angstrom
3.955 0.000 0.000
0.000 4.532 0.000
0.000 0.000 3.955
```

***

# 8
Computed, not measured: an optimized crystal structure of CaB3Mo at the GGA-PBE level of DFT. Values from VASP.

Computed properties:
The value obtained for the size of the total moment is 0.00 Bohr magnetons per cell. The energy relative to the elements is 10.2 kcal/mol of atoms. The energy above the most stable polymorph in this dataset comes out at 0.000 eV per atom. As for the crystal system: cubic. The density of states at the Fermi level is 2.53 states/eV/cell. The symmetry is No. 221.

Cell and atoms, written as Quantum ESPRESSO input:
```
&SYSTEM
  ibrav = 0, nat = 5, ntyp = 3
/
ATOMIC_SPECIES
Mo 95.94 Mo.upf
B 10.81 B.upf
Ca 40.08 Ca.upf
ATOMIC_POSITIONS crystal
Mo 0.000 0.000 0.000
B 0.000 0.500 0.000
B 0.000 0.000 0.500
B 0.500 0.000 0.000
Ca 0.500 0.500 0.500
CELL_PARAMETERS angstrom
-3.623 -1.150 1.811
1.869 0.053 3.772
-1.053 4.050 0.464
```

***

# 9
Computed, not measured: an optimized crystal structure of Ca3BMo at the GGA-PBE level of DFT. Values from VASP.

Computed properties:
The value obtained for the size of the total moment is 0.00 Bohr magnetons per cell. The energy relative to the elements is 37.3 kcal/mol of atoms. The energy above the most stable polymorph in this dataset comes out at 0.703 eV per atom. As for the crystal system: cubic. The density of states at the Fermi level is 4.02 states/eV/cell. The symmetry is No. 221.

Cell and atoms, written as Quantum ESPRESSO input:
```
&SYSTEM
  ibrav = 0, nat = 5, ntyp = 3
/
ATOMIC_SPECIES
Mo 95.94 Mo.upf
B 10.81 B.upf
Ca 40.08 Ca.upf
ATOMIC_POSITIONS crystal
Mo 0.000 0.000 0.000
B 0.500 0.500 0.500
Ca 0.000 0.500 0.000
Ca 0.000 0.000 0.500
Ca 0.500 0.000 0.000
CELL_PARAMETERS angstrom
5.353 0.000 0.000
0.000 5.353 0.000
0.000 0.000 5.353
```

***

# 10
Computed, not measured: an optimized crystal structure of CaB6Mo2 at the GGA-PBE level of DFT. Values from VASP.

Computed properties:
The value obtained for the size of the total moment is 0.00 Bohr magnetons per cell. The energy relative to the elements is -8.8 kcal/mol of atoms. As for the crystal system: orthorhombic. The density of states at the Fermi level is 2.75 states/eV/cell. The symmetry is No. 71.

Cell and atoms, written as Quantum ESPRESSO input:
```
&SYSTEM
  ibrav = 0, nat = 9, ntyp = 3
/
ATOMIC_SPECIES
Ca 40.08 Ca.upf
B 10.81 B.upf
Mo 95.94 Mo.upf
ATOMIC_POSITIONS crystal
Ca 0.000 0.000 0.000
B 0.695 0.066 0.544
B 0.305 0.934 0.456
B 0.305 0.456 0.934
B 0.500 0.667 0.333
B 0.500 0.333 0.667
B 0.695 0.544 0.066
Mo 0.844 0.656 0.656
Mo 0.156 0.344 0.344
CELL_PARAMETERS angstrom
2.992 0.000 0.824
1.075 5.325 1.939
0.031 -0.648 5.731
```

***

# 11
Computed, not measured: an optimized crystal structure of CaB3Mo at the GGA-PBE level of DFT. Values from VASP.

Computed properties:
The value obtained for the size of the total moment is 2.74 Bohr magnetons per cell. The energy relative to the elements is 65.9 kcal/mol of atoms. The energy above the most stable polymorph in this dataset comes out at 2.417 eV per atom. As for the crystal system: cubic. The density of states at the Fermi level is 4.94 states/eV/cell. The symmetry is No. 221.

Cell and atoms, written as Quantum ESPRESSO input:
```
&SYSTEM
  ibrav = 0, nat = 5, ntyp = 3
/
ATOMIC_SPECIES
Mo 95.94 Mo.upf
B 10.81 B.upf
Ca 40.08 Ca.upf
ATOMIC_POSITIONS crystal
Mo 0.500 0.500 0.500
B 0.000 0.500 0.000
B 0.000 0.000 0.500
B 0.500 0.000 0.000
Ca 0.000 0.000 0.000
CELL_PARAMETERS angstrom
4.170 0.000 0.000
0.000 4.170 0.000
0.000 0.000 4.170
```

***

# 12
Computed, not measured: an optimized crystal structure of CaBMo2 at the GGA-PBE level of DFT. Values from VASP.

Computed properties:
The value obtained for the size of the total moment is 0.00 Bohr magnetons per cell. The energy relative to the elements is 24.3 kcal/mol of atoms. As for the crystal system: tetragonal. The density of states at the Fermi level is 9.58 states/eV/cell. The symmetry is No. 141.

Cell and atoms, written as Quantum ESPRESSO input:
```
&SYSTEM
  ibrav = 0, nat = 8, ntyp = 3
/
ATOMIC_SPECIES
Mo 95.94 Mo.upf
B 10.81 B.upf
Ca 40.08 Ca.upf
ATOMIC_POSITIONS crystal
Mo 0.375 0.125 0.250
Mo 0.375 0.625 0.250
Mo 0.375 0.625 0.750
Mo 0.875 0.625 0.750
B 0.500 0.500 0.000
B 0.250 0.750 0.500
Ca 0.000 0.000 0.000
Ca 0.750 0.250 0.500
CELL_PARAMETERS angstrom
5.711 0.000 0.000
0.000 5.711 0.000
2.856 2.856 5.559
```